An optimized crystal structure of Li3La3Al8, computed with PBE.

abc: 4.5440 8.7021 8.7021
angles: 69.10 74.87 74.87
Last column: nearest neighbours and their distance in Å.
Element x y z (fractional)
1 Al 0.6440 0.0785 0.6335  3 Al 2.68-2.82, 1 Li 2.94
2 Al 0.6440 0.6335 0.0785  3 Al 2.68-2.82, 1 Li 2.94
3 Al 0.8415 0.7941 0.5229  4 Al 2.68-2.82, 1 Li 2.70
4 Al 0.3560 0.9215 0.3665  3 Al 2.68-2.82, 1 Li 2.94
5 Al 0.1585 0.4771 0.2059  4 Al 2.68-2.82, 1 Li 2.70
6 Al 0.1585 0.2059 0.4771  4 Al 2.68-2.82, 1 Li 2.70
7 Al 0.8415 0.5229 0.7941  4 Al 2.68-2.82, 1 Li 2.70
8 Al 0.3560 0.3665 0.9215  3 Al 2.68-2.82, 1 Li 2.94
9 La 0.5000 0.5000 0.5000  12 Al 3.37-3.41, 4 Li 3.74
10 La 0.7991 0.2009 0.2009  12 Al 3.25-3.64, 4 Li 3.36-3.55
11 La 0.2009 0.7991 0.7991  12 Al 3.25-3.64, 4 Li 3.36-3.55
12 Li 0.0000 0.1988 0.8012  6 Al 2.70-3.01, 2 Li 3.00
13 Li 0.0000 0.8012 0.1988  6 Al 2.70-3.01, 2 Li 3.00
14 Li 0.5000 0.0000 0.0000  4 Al 2.94, 4 Li 3.00

Summary:
Electronic total energy: -3.958 eV/atom
Energy relative to the elements: -34 kJ per mole of atoms
Size of the total moment: 0.0 Bohr magnetons per cell

An optimized crystal structure of LiLa2Al, computed with PBE.

abc: 4.9598 3.5327 6.5869
angles: 74.51 90.00 90.00
Last column: nearest neighbours and their distance in Å.
Element x y z (fractional)
1 La 0.0000 0.9651 0.9456  4 Al 3.29, 3 Li 3.30-3.56, 2 La 3.53
2 La 0.5000 0.2873 0.2993  4 Li 3.32, 3 Al 3.35-3.50, 2 La 3.53
3 Al 0.5000 0.5638 0.7480  2 Li 2.91
4 Li 0.0000 0.6837 0.5070  2 Al 2.91

Summary:
Electronic total energy: -3.999 eV/atom
Energy relative to the elements: -12 kJ per mole of atoms
Size of the total moment: 0.0 Bohr magnetons per cell

An optimized crystal structure of Li3LaAl, computed with PBE.

abc: 4.9105 4.9105 4.9105
angles: 90.00 90.00 90.00
Last column: nearest neighbours and their distance in Å.
Element x y z (fractional)
1 Li 0.5000 0.0000 0.0000  2 Al 2.46
2 Li 0.0000 0.0000 0.5000  2 Al 2.46
3 Li 0.0000 0.5000 0.0000  2 Al 2.46
4 La 0.5000 0.5000 0.5000  12 Li 3.47
5 Al 0.0000 0.0000 0.0000  6 Li 2.46

Summary:
Offset from the most stable computed form: 0.00 eV/f.u.
Electronic total energy: -2.752 eV/atom
Energy relative to the elements: 13 kJ per mole of atoms
Size of the total moment: 0.9 Bohr magnetons per cell

Number 2 is which compound? LiLa2Al